*P*
Here is a relaxed structure of V4O3F9 from Alexandria. Energies are from GGA-PBEsol.

Unit cell a=5.3431 b=5.2370 c=7.1351 alpha=90.00 beta=91.96 gamma=90.00
Last column: nearest neighbours and their distance in Å.
Fractional positions:
V 0.9997 0.0000 0.2387  1 O 1.73, 5 F 1.90-1.93
V 0.0003 0.0000 0.7613  1 O 1.73, 5 F 1.90-1.93
V 0.4994 0.4955 0.2505  2 O 1.80-1.81, 4 F 1.92-1.94
V 0.5006 0.4955 0.7495  2 O 1.80-1.81, 4 F 1.92-1.94
O 0.0000 0.0549 0.0000  2 V 1.73
O 0.5000 0.4386 0.0000  2 V 1.81
O 0.5000 0.5478 0.5000  2 V 1.80
F 0.0000 0.9063 0.5000  2 V 1.93
F 0.2034 0.7009 0.2128  2 V 1.92
F 0.2036 0.2860 0.7076  2 V 1.90-1.94
F 0.2923 0.1970 0.2906  2 V 1.90-1.94
F 0.2949 0.7921 0.7850  2 V 1.92
F 0.7051 0.7921 0.2150  2 V 1.92
F 0.7077 0.1970 0.7094  2 V 1.90-1.94
F 0.7964 0.2860 0.2924  2 V 1.90-1.94
F 0.7966 0.7009 0.7872  2 V 1.92

Calculated values
**D(E_F)**: 8.675 states/eV/cell
**V**: 12.5 Å³/atom
**Total moment**: 0.313 μB/atom


*Q*
Here is a relaxed structure of V4O3F9 from Alexandria. Energies are from GGA-PBEsol.

Unit cell a=5.1749 b=5.2584 c=17.1051 alpha=89.04 beta=81.64 gamma=60.71
Last column: nearest neighbours and their distance in Å.
Fractional positions:
V 0.0000 0.0000 0.0000  1 O 1.72, 3 F 1.89-1.90
V 0.0197 0.4696 0.4960  2 O 1.84-1.87, 4 F 1.91-1.93
V 0.2236 0.3451 0.1230  2 O 1.77-1.78, 3 F 1.91-1.97
V 0.2491 0.8822 0.6168  1 O 1.69
V 0.5134 0.2395 0.7545  2 O 1.74-1.75, 1 F 1.90
V 0.5397 0.6932 0.2434  1 O 1.71, 3 F 1.89-1.91
V 0.7285 0.6296 0.8640  2 O 1.75, 2 F 1.91-1.95
V 0.7920 0.0586 0.3753  1 O 1.67
O 0.0866 0.1595 0.5580  2 V 1.69-1.84
O 0.0889 0.1553 0.0719  2 V 1.72-1.77
O 0.5684 0.9417 0.8107  2 V 1.75
O 0.5927 0.4288 0.8211  2 V 1.74-1.75
O 0.9060 0.5088 0.1987  2 V 1.71-1.78
O 0.9564 0.7814 0.4327  2 V 1.67-1.87
F 0.0445 0.6739 0.0586  2 V 1.90-1.93
F 0.0901 0.4527 0.7848  2 V 1.90-1.95
F 0.0936 0.6502 0.5799  2 V 1.91-1.92
F 0.0985 0.9194 0.2856  2 V 1.90-2.01
F 0.4120 0.5530 0.1633  2 V 1.90-1.97
F 0.4181 0.7763 0.9538  2 V 1.91-1.93
F 0.4383 0.2703 0.4531  2 V 1.92-1.93
F 0.4421 0.0540 0.6645  2 V 1.90-2.01
F 0.4619 0.5409 0.6788  2 V 1.97
F 0.4643 0.0305 0.1828  2 V 1.91-1.94
F 0.5572 0.3961 0.3099  2 V 1.89-2.02
F 0.5833 0.1922 0.0370  2 V 1.89-2.01
F 0.5872 0.8863 0.3296  2 V 1.91-1.94
F 0.6012 0.6747 0.5379  2 V 1.91-1.93
F 0.9269 0.8040 0.9160  2 V 1.96-1.98
F 0.9333 0.0306 0.7040  2 V 1.89-1.96
F 0.9423 0.2976 0.4096  2 V 1.91-1.93
F 0.9535 0.2945 0.9287  2 V 1.90-2.00

Calculated values
**D(E_F)**: 16.420 states/eV/cell
**V**: 12.5 Å³/atom
**Total moment**: 0.313 μB/atom


*R*
Here is a relaxed structure of V4O3F9 from Alexandria. Energies are from GGA-PBEsol.

Unit cell a=5.2643 b=5.2643 c=8.8476 alpha=105.24 beta=105.24 gamma=59.73
Last column: nearest neighbours and their distance in Å.
Fractional positions:
V 0.1195 0.1195 0.3797  2 O 1.75-1.94, 4 F 1.91-1.93
V 0.3749 0.3550 0.1348  1 O 1.65
V 0.6450 0.6251 0.8652  1 O 1.65
V 0.8805 0.8805 0.6203  2 O 1.75-1.94, 4 F 1.91-1.93
O 0.3056 0.2031 0.2500  1 V 1.65
O 0.7969 0.6944 0.7500  1 V 1.65
O 0.9578 0.0422 0.5000  2 V 1.75
F 0.2931 0.6749 0.7126  2 V 1.92-1.93
F 0.3251 0.7069 0.2874  2 V 1.92-1.93
F 0.4325 0.0407 0.9564  2 V 1.92-1.94
F 0.4484 0.5516 0.0000  2 V 1.98
F 0.4627 0.0572 0.5414  2 V 1.91-1.93
F 0.7975 0.1845 0.2035  2 V 1.92-1.93
F 0.8155 0.2025 0.7965  2 V 1.92-1.93
F 0.9428 0.5373 0.4586  2 V 1.91-1.93
F 0.9593 0.5675 0.0436  2 V 1.92-1.94

Calculated values
**D(E_F)**: 6.447 states/eV/cell
**V**: 12.6 Å³/atom
**Total moment**: 0.313 μB/atom


Energy relative to the most stable one, in meV/atom: *P* 44; *Q* 0; *R* 25